# 1
TmZr2UN4: relaxed, GGA-PBE.

Summary:
Density = 10.22 g/cm3
Total energy = -9.93 eV per atom
Raw formation energy = -161 kJ per mole of atoms

abc: 4.7284 4.7284 9.3836
angles: 90.00 90.00 90.00
Last column: nearest neighbours and their distance in Å.
Space group I-4m2 (No. 119)
Unique sites:
1 Tm 0.0000 0.0000 0.0000 [2 per cell]  6 N 2.36-2.37
2 Zr 0.0000 0.0000 0.5000 [2 per cell]  6 N 2.33-2.37
3 Zr 0.0000 0.5000 0.2500 [2 per cell]  6 N 2.36-2.41
4 U 0.0000 0.5000 0.7500 [2 per cell]  6 N 2.28-2.36
5 N 0.0000 0.0000 0.2517 [4 per cell]  3 Zr 2.33-2.36, 1 Tm 2.36, 2 U 2.36
6 N 0.0000 0.5000 0.5066 [4 per cell]  1 U 2.28, 3 Zr 2.37-2.41, 2 Tm 2.37

=====

# 2
CaMoCl2: relaxed, GGA-PBE.

Summary:
Density = 2.98 g/cm3
Total energy = -4.59 eV per atom
Raw formation energy = -44 kJ per mole of atoms

abc: 11.1990 3.6906 5.5899
angles: 90.00 94.69 90.00
Last column: nearest neighbours and their distance in Å.
Space group C2/m (No. 12)
Unique sites:
1 Ca 0.0000 0.0000 0.0000 [2 per cell]  4 Cl 2.75
2 Mo 0.0000 0.5000 0.5000 [2 per cell]  2 Cl 2.45
3 Cl 0.1558 0.5000 0.2158 [4 per cell]  1 Mo 2.45